(1)
RbAgC2 after structural relaxation, computed with PBE-GGA.

Output
- DFT total energy (eV per atom) = -5.20
- total moment (Bohr magnetons per cell) = 0.00
- E_form (eV/atom) = 0.37

Structure (POSCAR):
```
RbAgC2
1.0
4.577 0.000 0.000
0.000 4.577 0.000
0.000 0.000 5.342
Rb Ag C
1 1 2
Direct
0.000 0.000 0.000 Rb
0.500 0.500 0.500 Ag
0.500 0.500 0.117 C
0.500 0.500 0.883 C
```

=====

(2)
RbAgC2 after structural relaxation, computed with PBE-GGA.

Output
- DFT total energy (eV per atom) = -3.51
- total moment (Bohr magnetons per cell) = 0.00
- E_form (eV/atom) = 2.05

Structure (POSCAR):
```
RbAgC2
1.0
-2.239 2.239 7.498
2.239 -2.239 7.498
2.239 2.239 -7.498
Rb Ag C
2 2 4
Direct
0.375 0.625 0.750 Rb
0.625 0.375 0.250 Rb
0.125 0.875 0.250 Ag
0.875 0.125 0.750 Ag
0.000 0.000 0.000 C
0.000 0.000 0.500 C
0.000 0.500 0.000 C
0.500 0.000 0.500 C
```

=====

(3)
RbAg2C after structural relaxation, computed with PBE-GGA.

Output
- DFT total energy (eV per atom) = -3.20
- total moment (Bohr magnetons per cell) = 0.00
- E_form (eV/atom) = 0.77

Structure (POSCAR):
```
RbAg2C
1.0
-3.380 3.380 4.776
3.380 -3.380 4.776
3.380 3.380 -4.776
Rb Ag C
2 4 2
Direct
0.375 0.625 0.750 Rb
0.625 0.375 0.250 Rb
0.000 0.000 0.000 Ag
0.000 0.000 0.500 Ag
0.000 0.500 0.000 Ag
0.500 0.000 0.500 Ag
0.125 0.875 0.250 C
0.875 0.125 0.750 C
```

=====

(4)
RbAgC2 after structural relaxation, computed with PBE-GGA.

Output
- DFT total energy (eV per atom) = -2.78
- total moment (Bohr magnetons per cell) = 0.00
- E_form (eV/atom) = 2.78

Structure (POSCAR):
```
RbAgC2
1.0
0.000 3.211 3.211
3.211 0.000 3.211
3.211 3.211 0.000
Rb Ag C
1 1 2
Direct
0.000 0.000 0.000 Rb
0.500 0.500 0.500 Ag
0.250 0.250 0.250 C
0.750 0.750 0.750 C
```

=====

(5)
RbAgC3 after structural relaxation, computed with PBE-GGA.

Output
- DFT total energy (eV per atom) = -1.95
- total moment (Bohr magnetons per cell) = 0.00
- E_form (eV/atom) = 4.34

Structure (POSCAR):
```
RbAgC3
1.0
4.582 0.000 0.000
0.000 4.582 0.000
0.000 0.000 4.582
Rb Ag C
1 1 3
Direct
0.000 0.000 0.000 Rb
0.500 0.500 0.500 Ag
0.000 0.000 0.500 C
0.000 0.500 0.000 C
0.500 0.000 0.000 C
```

=====

(6)
RbAgC3 after structural relaxation, computed with PBE-GGA.

Output
- DFT total energy (eV per atom) = -3.32
- total moment (Bohr magnetons per cell) = 4.78
- E_form (eV/atom) = 2.98

Structure (POSCAR):
```
RbAgC3
1.0
4.468 0.000 0.000
0.000 4.468 0.000
0.000 0.000 4.468
Rb Ag C
1 1 3
Direct
0.000 0.000 0.000 Rb
0.500 0.500 0.500 Ag
0.000 0.500 0.500 C
0.500 0.000 0.500 C
0.500 0.500 0.000 C
```

=====

(7)
RbReAgC2 after structural relaxation, computed with PBE-GGA.

Output
- DFT total energy (eV per atom) = -3.32
- total moment (Bohr magnetons per cell) = 0.06
- E_form (eV/atom) = 3.62

Structure (POSCAR):
```
RbReAgC2
1.0
4.211 0.000 0.000
0.000 4.211 0.000
0.000 0.000 5.383
Rb Re Ag C
1 1 1 2
Direct
0.000 0.000 0.000 Rb
0.500 0.500 0.000 Re
0.000 0.000 0.500 Ag
0.000 0.500 0.500 C
0.500 0.000 0.500 C
```

=====

(8)
RbZnAg2C after structural relaxation, computed with PBE-GGA.

Output
- DFT total energy (eV per atom) = -1.30
- total moment (Bohr magnetons per cell) = 2.27
- E_form (eV/atom) = 2.13

Structure (POSCAR):
```
RbZnAg2C
1.0
6.384 0.000 0.000
0.000 6.384 0.000
0.000 0.000 5.468
Rb Zn Ag C
1 1 2 1
Direct
0.000 0.000 0.000 Rb
0.500 0.500 0.500 Zn
0.000 0.500 0.000 Ag
0.500 0.000 0.000 Ag
0.000 0.000 0.500 C
```

=====

(9)
ReAgC3 after structural relaxation, computed with PBE-GGA.

Output
- DFT total energy (eV per atom) = -4.92
- total moment (Bohr magnetons per cell) = 0.00
- E_form (eV/atom) = 3.67

Structure (POSCAR):
```
ReAgC3
1.0
3.978 0.000 0.000
0.000 3.978 0.000
0.000 0.000 3.978
Re Ag C
1 1 3
Direct
0.000 0.000 0.000 Re
0.500 0.500 0.500 Ag
0.000 0.500 0.500 C
0.500 0.000 0.500 C
0.500 0.500 0.000 C
```

=====

(10)
Re3AgC after structural relaxation, computed with PBE-GGA.

Output
- DFT total energy (eV per atom) = -9.30
- total moment (Bohr magnetons per cell) = 0.00
- E_form (eV/atom) = 0.59

Structure (POSCAR):
```
Re3AgC
1.0
4.114 0.000 0.000
0.000 4.114 0.000
0.000 0.000 4.114
Re Ag C
3 1 1
Direct
0.000 0.000 0.500 Re
0.000 0.500 0.000 Re
0.500 0.000 0.000 Re
0.500 0.500 0.500 Ag
0.000 0.000 0.000 C
```

=====

(11)
ReAgC3 after structural relaxation, computed with PBE-GGA.

Output
- DFT total energy (eV per atom) = -6.81
- total moment (Bohr magnetons per cell) = 0.00
- E_form (eV/atom) = 1.79

Structure (POSCAR):
```
ReAgC3
1.0
4.059 0.000 0.000
0.000 4.059 0.000
0.000 0.000 4.059
Re Ag C
1 1 3
Direct
0.000 0.000 0.000 Re
0.500 0.500 0.500 Ag
0.000 0.000 0.500 C
0.000 0.500 0.000 C
0.500 0.000 0.000 C
```

=====

(12)
Re3AgC after structural relaxation, computed with PBE-GGA.

Output
- DFT total energy (eV per atom) = -5.43
- total moment (Bohr magnetons per cell) = 3.46
- E_form (eV/atom) = 4.46

Structure (POSCAR):
```
Re3AgC
1.0
4.774 0.000 0.000
0.000 4.774 0.000
0.000 0.000 4.774
Re Ag C
3 1 1
Direct
0.000 0.000 0.500 Re
0.000 0.500 0.000 Re
0.500 0.000 0.000 Re
0.000 0.000 0.000 Ag
0.500 0.500 0.500 C
```

=====

(13)
ReAgC2S after structural relaxation, computed with PBE-GGA.

Output
- DFT total energy (eV per atom) = -4.50
- total moment (Bohr magnetons per cell) = 0.00
- formation energy from raw total energies (eV/f.u.) = 15.35

Structure (POSCAR):
```
ReAgC2S
1.0
3.963 0.000 0.000
0.000 3.963 0.000
0.000 0.000 4.812
Re Ag C S
1 1 2 1
Direct
0.000 0.000 0.000 Re
0.500 0.500 0.500 Ag
0.000 0.500 0.500 C
0.500 0.000 0.500 C
0.500 0.500 0.000 S
```

=====

(14)
Sc2ReAgC after structural relaxation, computed with PBE-GGA.

Output
- DFT total energy (eV per atom) = -7.70
- total moment (Bohr magnetons per cell) = 0.00
- E_form (eV/atom) = -0.27

Structure (POSCAR):
```
Sc2ReAgC
1.0
4.579 0.000 0.000
0.000 4.579 0.000
0.000 0.000 3.973
Sc Re Ag C
2 1 1 1
Direct
0.000 0.500 0.000 Sc
0.500 0.000 0.000 Sc
0.000 0.000 0.500 Re
0.500 0.500 0.500 Ag
0.000 0.000 0.000 C
```

=====

(15)
ReAg2CSe after structural relaxation, computed with PBE-GGA.

Output
- DFT total energy (eV per atom) = -5.26
- total moment (Bohr magnetons per cell) = 0.93
- formation energy from raw total energies (eV/f.u.) = 4.57

Structure (POSCAR):
```
ReAg2CSe
1.0
4.504 0.000 0.000
0.000 4.504 0.000
0.000 0.000 4.061
Re Ag C Se
1 2 1 1
Direct
0.000 0.000 0.000 Re
0.000 0.500 0.500 Ag
0.500 0.000 0.500 Ag
0.000 0.000 0.500 C
0.500 0.500 0.000 Se
```

=====

(16)
ReAg2CSe after structural relaxation, computed with PBE-GGA.

Output
- DFT total energy (eV per atom) = -4.77
- total moment (Bohr magnetons per cell) = 0.52
- formation energy from raw total energies (eV/f.u.) = 7.03

Structure (POSCAR):
```
ReAg2CSe
1.0
5.241 0.000 0.000
0.000 5.241 0.000
0.000 0.000 3.823
Re Ag C Se
1 2 1 1
Direct
0.000 0.000 0.000 Re
0.000 0.500 0.000 Ag
0.500 0.000 0.000 Ag
0.000 0.000 0.500 C
0.500 0.500 0.500 Se
```

=====

(17)
AgRh2C after structural relaxation, computed with PBE-GGA.

Output
- DFT total energy (eV per atom) = -6.35
- total moment (Bohr magnetons per cell) = 0.00
- E_form (eV/atom) = 0.34

Structure (POSCAR):
```
AgRh2C
1.0
-3.167 3.167 2.851
3.167 -3.167 2.851
3.167 3.167 -2.851
Ag Rh C
2 4 2
Direct
0.000 0.000 0.000 Ag
0.750 0.250 0.500 Ag
0.233 0.125 0.608 Rh
0.375 0.767 0.892 Rh
0.517 0.625 0.392 Rh
0.875 0.483 0.108 Rh
0.250 0.750 0.500 C
0.500 0.500 0.000 C
```

=====

(18)
AgRuRh2C after structural relaxation, computed with PBE-GGA.

Output
- DFT total energy (eV per atom) = -6.90
- total moment (Bohr magnetons per cell) = 0.93
- E_form (eV/atom) = 0.31

Structure (POSCAR):
```
AgRuRh2C
1.0
4.100 0.000 0.000
0.000 4.100 0.000
0.000 0.000 4.081
Ag Ru Rh C
1 1 2 1
Direct
0.000 0.000 0.000 Ag
0.500 0.500 0.000 Ru
0.000 0.500 0.500 Rh
0.500 0.000 0.500 Rh
0.500 0.500 0.500 C
```

=====

(19)
Sc2AgRhC after structural relaxation, computed with PBE-GGA.

Output
- DFT total energy (eV per atom) = -6.88
- total moment (Bohr magnetons per cell) = 0.00
- E_form (eV/atom) = -0.47

Structure (POSCAR):
```
Sc2AgRhC
1.0
4.608 0.000 0.000
0.000 4.608 0.000
0.000 0.000 3.909
Sc Ag Rh C
2 1 1 1
Direct
0.000 0.500 0.000 Sc
0.500 0.000 0.000 Sc
0.000 0.000 0.500 Ag
0.500 0.500 0.500 Rh
0.500 0.500 0.000 C
```

=====

(20)
VAg2RhC after structural relaxation, computed with PBE-GGA.

Output
- DFT total energy (eV per atom) = -5.61
- total moment (Bohr magnetons per cell) = 0.00
- E_form (eV/atom) = 0.67

Structure (POSCAR):
```
VAg2RhC
1.0
4.250 0.000 0.000
0.000 4.250 0.000
0.000 0.000 4.005
V Ag Rh C
1 2 1 1
Direct
0.000 0.000 0.000 V
0.000 0.500 0.500 Ag
0.500 0.000 0.500 Ag
0.500 0.500 0.000 Rh
0.000 0.000 0.500 C
```

=====

(21)
Zr2AgRhC after structural relaxation, computed with PBE-GGA.

Output
- DFT total energy (eV per atom) = -5.77
- total moment (Bohr magnetons per cell) = 0.00
- E_form (eV/atom) = 1.54

Structure (POSCAR):
```
Zr2AgRhC
1.0
4.896 0.000 0.000
0.000 4.896 0.000
0.000 0.000 4.930
Zr Ag Rh C
2 1 1 1
Direct
0.000 0.500 0.000 Zr
0.500 0.000 0.000 Zr
0.000 0.000 0.500 Ag
0.000 0.000 0.000 Rh
0.500 0.500 0.500 C
```

=====

(22)
Ag2RuC after structural relaxation, computed with PBE-GGA.

Output
- DFT total energy (eV per atom) = -4.01
- total moment (Bohr magnetons per cell) = 4.38
- E_form (eV/atom) = 2.04

Structure (POSCAR):
```
Ag2RuC
1.0
-2.396 2.396 6.519
2.396 -2.396 6.519
2.396 2.396 -6.519
Ag Ru C
4 2 2
Direct
0.001 0.625 0.876 Ag
0.375 0.251 0.376 Ag
0.749 0.125 0.124 Ag
0.875 0.999 0.624 Ag
0.250 0.750 0.500 Ru
0.500 0.500 0.000 Ru
0.000 0.000 0.000 C
0.750 0.250 0.500 C
```

=====

(23)
AgRuC3 after structural relaxation, computed with PBE-GGA.

Output
- DFT total energy (eV per atom) = -5.85
- total moment (Bohr magnetons per cell) = 0.00
- E_form (eV/atom) = 2.11

Structure (POSCAR):
```
AgRuC3
1.0
4.008 0.000 0.000
0.000 4.008 0.000
0.000 0.000 4.008
Ag Ru C
1 1 3
Direct
0.000 0.000 0.000 Ag
0.500 0.500 0.500 Ru
0.000 0.500 0.500 C
0.500 0.000 0.500 C
0.500 0.500 0.000 C
```

=====

(24)
Ag3RuC after structural relaxation, computed with PBE-GGA.

Output
- DFT total energy (eV per atom) = -4.20
- total moment (Bohr magnetons per cell) = 2.17
- E_form (eV/atom) = 1.21

Structure (POSCAR):
```
Ag3RuC
1.0
4.281 0.000 0.000
0.000 4.281 0.000
0.000 0.000 4.281
Ag Ru C
3 1 1
Direct
0.000 0.000 0.500 Ag
0.000 0.500 0.000 Ag
0.500 0.000 0.000 Ag
0.500 0.500 0.500 Ru
0.000 0.000 0.000 C
```

=====

(25)
AgRuC3 after structural relaxation, computed with PBE-GGA.

Output
- DFT total energy (eV per atom) = -4.49
- total moment (Bohr magnetons per cell) = 0.00
- E_form (eV/atom) = 3.47

Structure (POSCAR):
```
AgRuC3
1.0
4.016 0.000 0.000
0.000 4.016 0.000
0.000 0.000 4.016
Ag Ru C
1 1 3
Direct
0.000 0.000 0.000 Ag
0.500 0.500 0.500 Ru
0.000 0.000 0.500 C
0.000 0.500 0.000 C
0.500 0.000 0.000 C
```

=====

(26)
Ag3RuC after structural relaxation, computed with PBE-GGA.

Output
- DFT total energy (eV per atom) = -2.68
- total moment (Bohr magnetons per cell) = 0.00
- E_form (eV/atom) = 2.73

Structure (POSCAR):
```
Ag3RuC
1.0
5.005 0.000 0.000
0.000 5.005 0.000
0.000 0.000 5.005
Ag Ru C
3 1 1
Direct
0.000 0.000 0.500 Ag
0.000 0.500 0.000 Ag
0.500 0.000 0.000 Ag
0.000 0.000 0.000 Ru
0.500 0.500 0.500 C
```

=====

(27)
AgRu2C after structural relaxation, computed with PBE-GGA.

Output
- DFT total energy (eV per atom) = -7.03
- total moment (Bohr magnetons per cell) = 0.00
- E_form (eV/atom) = 0.63

Structure (POSCAR):
```
AgRu2C
1.0
-3.221 3.221 2.619
3.221 -3.221 2.619
3.221 3.221 -2.619
Ag Ru C
2 4 2
Direct
0.000 0.000 0.000 Ag
0.750 0.250 0.500 Ag
0.221 0.625 0.096 Ru
0.375 0.471 0.596 Ru
0.529 0.125 0.904 Ru
0.875 0.779 0.404 Ru
0.250 0.750 0.500 C
0.500 0.500 0.000 C
```

=====

(28)
Sm2AgRuC after structural relaxation, computed with PBE-GGA.

Output
- DFT total energy (eV per atom) = -6.47
- total moment (Bohr magnetons per cell) = 0.00
- E_form (eV/atom) = -0.31

Structure (POSCAR):
```
Sm2AgRuC
1.0
5.155 0.000 0.000
0.000 5.155 0.000
0.000 0.000 3.903
Sm Ag Ru C
2 1 1 1
Direct
0.000 0.500 0.000 Sm
0.500 0.000 0.000 Sm
0.000 0.000 0.500 Ag
0.500 0.500 0.500 Ru
0.500 0.500 0.000 C
```